# AcLa2Cu

A geometry-optimized AcLa2Cu structure (GGA-PBE, Alexandria).

Output
Volume   35.472 A^3/atom
Total magnetic moment   0.0 μB/cell
E above lowest polymorph   257 meV per atom
ΔH_f (0 K)   0.194 eV per atom

a b c (Å): 11.433 11.433 11.433
angles (deg): 19.24 19.24 19.24
Element x y z (fractional)
Ac 0.000 0.000 0.000
La 0.109 0.109 0.109
La 0.891 0.891 0.891
Cu 0.500 0.500 0.500